1.
# Pr2B10Rh

A relaxed Pr2B10Rh crystal (GGA-PBE, the Alexandria database).

abc: 5.7621 11.4764 4.2252
angles: 90.00 90.00 90.00
With the nearest neighbours (Å) after each atom.
Space group Pbam (No. 55)
Unique sites:
Pr (0.2041, 0.1353, 0.0000) [4 per cell]  20 B 2.93-3.08, 2 Rh 3.13
B (0.0556, 0.3074, 0.5000) [4 per cell]  4 B 1.69-1.79
B (0.1190, 0.9567, 0.5000) [4 per cell]  4 B 1.69-1.80
B (0.1388, 0.8028, 0.5000) [4 per cell]  5 B 1.69-1.77
B (0.2178, 0.3817, 0.1999) [8 per cell]  4 B 1.69-1.80
Rh (0.0000, 0.5000, 0.5000) [2 per cell]  8 B 2.23-2.25

Results
The value obtained for the electronic total energy is -6.98 eV/atom. Its calculated volume is 279.4 Å³ per cell. The value obtained for the energy of formation from the pure elements is -0.54 eV per atom.

=====

2.
# Pr3B2Rh5

A relaxed Pr3B2Rh5 crystal (GGA-PBE, the Alexandria database).

abc: 9.3184 12.6714 6.0123
angles: 90.00 90.00 90.00
With the nearest neighbours (Å) after each atom.
Space group Ibam (No. 72)
Unique sites:
Pr (0.0000, 0.0000, 0.2500) [4 per cell]  4 B 2.78, 2 Pr 3.01
Pr (0.2284, 0.3667, 0.0000) [8 per cell]  1 B 2.78, 6 Rh 2.93-3.10
B (0.0943, 0.1708, 0.0000) [8 per cell]  3 Rh 2.00-2.08
Rh (0.0000, 0.2602, 0.2500) [8 per cell]  2 B 2.08
Rh (0.0000, 0.5000, 0.2500) [4 per cell]  8 Rh 2.83-3.04, 4 Pr 3.10
Rh (0.2069, 0.3879, 0.5000) [8 per cell]  1 B 2.00

Results
The value obtained for the electronic total energy is -6.85 eV/atom. Its calculated volume is 709.9 Å³ per cell. The value obtained for the energy of formation from the pure elements is -0.41 eV per atom.

=====

Which value of calculated volume does entry 2 give?
709.9 Å³ per cell

=====

Please write out number 2 again, unchanged.
# Pr3B2Rh5

A relaxed Pr3B2Rh5 crystal (GGA-PBE, the Alexandria database).

abc: 9.3184 12.6714 6.0123
angles: 90.00 90.00 90.00
With the nearest neighbours (Å) after each atom.
Space group Ibam (No. 72)
Unique sites:
Pr (0.0000, 0.0000, 0.2500) [4 per cell]  4 B 2.78, 2 Pr 3.01
Pr (0.2284, 0.3667, 0.0000) [8 per cell]  1 B 2.78, 6 Rh 2.93-3.10
B (0.0943, 0.1708, 0.0000) [8 per cell]  3 Rh 2.00-2.08
Rh (0.0000, 0.2602, 0.2500) [8 per cell]  2 B 2.08
Rh (0.0000, 0.5000, 0.2500) [4 per cell]  8 Rh 2.83-3.04, 4 Pr 3.10
Rh (0.2069, 0.3879, 0.5000) [8 per cell]  1 B 2.00

Results
The value obtained for the electronic total energy is -6.85 eV/atom. Its calculated volume is 709.9 Å³ per cell. The value obtained for the energy of formation from the pure elements is -0.41 eV per atom.